This record from the Alexandria database describes a relaxed AcY6Ho3 crystal. The functional is PBE.

Cell and atoms, written as CIF:
```
data_AcY6Ho3
_chemical_formula_sum 'Ac4 Y24 Ho12'
_cell_length_a 9.5917
_cell_length_b 15.5737
_cell_length_c 9.0154
_cell_angle_alpha 90.00
_cell_angle_beta 90.00
_cell_angle_gamma 90.00
_space_group_name_H-M_alt 'C m c 21'
_space_group_IT_number 36
loop_
_space_group_symop_operation_xyz
'x,y,z'
'-x,-y,z+1/2'
'-x,y,z'
'x,-y,z+1/2'
'x+1/2,y+1/2,z'
'-x+1/2,-y+1/2,z+1/2'
'-x+1/2,y+1/2,z'
'x+1/2,-y+1/2,z+1/2'
loop_
_atom_site_label
_atom_site_type_symbol
_atom_site_fract_x
_atom_site_fract_y
_atom_site_fract_z
Ac1 Ac 0.0000 0.2231 0.0000
Y1 Y 0.0000 0.2895 0.3763
Y2 Y 0.0000 0.4534 0.1019
Y3 Y 0.1718 0.1403 0.5854
Y4 Y 0.1787 0.3535 0.7398
Ho1 Ho 0.0000 0.0502 0.2330
Ho2 Ho 0.2484 0.0560 0.9134
```

N(E_F)   13.7 states/eV/f.u.
Volume   33.67 A^3/atom
Crystal system   orthorhombic
Energy of formation from the pure elements   3.19 kcal/mol of atoms

=====

This record from the Alexandria database describes a relaxed AcY3Ho crystal. The functional is PBE.

Cell and atoms, written as CIF:
```
data_AcY3Ho
_chemical_formula_sum 'Ac8 Y24 Ho8'
_cell_length_a 9.2995
_cell_length_b 15.7421
_cell_length_c 9.6786
_cell_angle_alpha 90.00
_cell_angle_beta 90.09
_cell_angle_gamma 90.00
_space_group_name_H-M_alt 'C 1 2/c 1'
_space_group_IT_number 15
loop_
_space_group_symop_operation_xyz
'x,y,z'
'-x,-y,-z'
'-x,y,-z+1/2'
'x,-y,z+1/2'
'x+1/2,y+1/2,z'
'-x+1/2,-y+1/2,-z'
'-x+1/2,y+1/2,-z+1/2'
'x+1/2,-y+1/2,z+1/2'
loop_
_atom_site_label
_atom_site_type_symbol
_atom_site_fract_x
_atom_site_fract_y
_atom_site_fract_z
Ac1 Ac 0.0000 0.0025 0.2500
Ac2 Ac 0.0000 0.4281 0.7500
Y1 Y 0.0000 0.2214 0.5683
Y2 Y 0.1812 0.3954 0.4264
Y3 Y 0.1879 0.2029 0.2494
Ho1 Ho 0.1893 0.3964 0.0671
```

Distance to the lowest polymorph of the same formula   0 meV/atom
N(E_F)   6.9 states/eV/f.u.
Volume   35.42 A^3/atom
Crystal system   monoclinic
Energy of formation from the pure elements   3.26 kcal/mol of atoms

=====

This record from the Alexandria database describes a relaxed AcYHo2 crystal. The functional is PBE.

Cell and atoms, written as CIF:
```
data_AcYHo2
_chemical_formula_sum 'Ac4 Y4 Ho8'
_cell_length_a 8.2372
_cell_length_b 8.2372
_cell_length_c 8.2372
_cell_angle_alpha 90.00
_cell_angle_beta 90.00
_cell_angle_gamma 90.00
_space_group_name_H-M_alt 'F m -3 m'
_space_group_IT_number 225
_space_group_name_Hall '-F 4 2 3'
loop_
_atom_site_label
_atom_site_type_symbol
_atom_site_fract_x
_atom_site_fract_y
_atom_site_fract_z
Ac1 Ac 0.0000 0.0000 0.0000
Y1 Y 0.0000 0.0000 0.5000
Ho1 Ho 0.2500 0.2500 0.2500
```

Distance to the lowest polymorph of the same formula   68 meV/atom
N(E_F)   6.6 states/eV/f.u.
Volume   34.93 A^3/atom
Crystal system   cubic
Energy of formation from the pure elements   2.98 kcal/mol of atoms

=====

This record from the Alexandria database describes a relaxed AcY6Ho crystal. The functional is PBE.

Cell and atoms, written as CIF:
```
data_AcY6Ho
_chemical_formula_sum 'Ac3 Y18 Ho3'
_cell_length_a 9.7754
_cell_length_b 9.7754
_cell_length_c 9.9895
_cell_angle_alpha 90.00
_cell_angle_beta 90.00
_cell_angle_gamma 120.00
_space_group_name_H-M_alt 'R -3'
_space_group_IT_number 148
_space_group_name_Hall '-R 3'
loop_
_atom_site_label
_atom_site_type_symbol
_atom_site_fract_x
_atom_site_fract_y
_atom_site_fract_z
Ac1 Ac 0.0000 0.0000 0.0000
Y1 Y 0.0032 0.7091 0.2522
Ho1 Ho 0.0000 0.0000 0.5000
```

Distance to the lowest polymorph of the same formula   0 meV/atom
N(E_F)   14.7 states/eV/f.u.
Volume   34.43 A^3/atom
Crystal system   trigonal
Energy of formation from the pure elements   3.48 kcal/mol of atoms

=====

Q: Look up the energy of formation from the pure elements of the third one.
A: 2.98 kcal/mol of atoms